# SrZr2Ge2 GGA-PBE optimized geometry
data_SrZr2Ge2
_chemical_formula_sum 'Sr2 Zr4 Ge4'
_symmetry_space_group_name_H-M 'P 4/m b m'
_symmetry_Int_Tables_number 127
_symmetry_space_group_name_Hall '-P 4 2ab'
_cell_length_a 7.7956
_cell_length_b 7.7956
_cell_length_c 3.6863
_cell_angle_alpha 90.00
_cell_angle_beta 90.00
_cell_angle_gamma 90.00
loop_
_atom_site_label
_atom_site_type_symbol
_atom_site_fract_x
_atom_site_fract_y
_atom_site_fract_z
Sr1 Sr 0.0000 0.0000 0.0000
Zr1 Zr 0.1615 0.3385 0.5000
Ge1 Ge 0.1288 0.6288 0.0000
# DFT formation energy in eV per atom: -0.39
# Offset from the most stable computed form in meV/atom: 131



# Rb3La3PuSe8 GGA-PBE optimized geometry
data_Rb3La3PuSe8
_chemical_formula_sum 'Rb9 La9 Pu3 Se24'
_symmetry_space_group_name_H-M 'R -3 m'
_symmetry_Int_Tables_number 166
_symmetry_space_group_name_Hall '-R 3 2"'
_cell_length_a 8.8181
_cell_length_b 8.8181
_cell_length_c 24.2813
_cell_angle_alpha 90.00
_cell_angle_beta 90.00
_cell_angle_gamma 120.00
loop_
_atom_site_label
_atom_site_type_symbol
_atom_site_fract_x
_atom_site_fract_y
_atom_site_fract_z
Rb1 Rb 0.0000 0.5000 0.0000
La1 La 0.0000 0.5000 0.5000
Pu1 Pu 0.0000 0.0000 0.5000
Se1 Se 0.0000 0.0000 0.2337
Se2 Se 0.0172 0.5086 0.2302
# Uncorrected formation energy in meV per atom: -1688.3



# LaAgTe2 GGA-PBE optimized geometry
data_LaAgTe2
_chemical_formula_sum 'La2 Ag2 Te4'
_symmetry_space_group_name_H-M 'A m m 2'
_symmetry_Int_Tables_number 38
_cell_length_a 4.8696
_cell_length_b 4.3056
_cell_length_c 12.5054
_cell_angle_alpha 90.00
_cell_angle_beta 90.00
_cell_angle_gamma 90.00
loop_
_symmetry_equiv_pos_as_xyz
'x,y,z'
'-x,-y,z'
'-x,y,z'
'x,-y,z'
'x,y+1/2,z+1/2'
'-x,-y+1/2,z+1/2'
'-x,y+1/2,z+1/2'
'x,-y+1/2,z+1/2'
loop_
_atom_site_label
_atom_site_type_symbol
_atom_site_fract_x
_atom_site_fract_y
_atom_site_fract_z
La1 La 0.0000 0.0000 0.0000
Ag1 Ag 0.5000 0.0000 0.7907
Te1 Te 0.0000 0.0000 0.6904
Te2 Te 0.5000 0.0000 0.4451
# Uncorrected formation energy in meV per atom: -977.8



# RbBeCrH2 GGA-PBE optimized geometry
data_RbBeCrH2
_chemical_formula_sum 'Rb1 Be1 Cr1 H2'
_symmetry_space_group_name_H-M 'P 4/m m m'
_symmetry_Int_Tables_number 123
_symmetry_space_group_name_Hall '-P 4 2'
_cell_length_a 4.3279
_cell_length_b 4.3279
_cell_length_c 4.6610
_cell_angle_alpha 90.00
_cell_angle_beta 90.00
_cell_angle_gamma 90.00
loop_
_atom_site_label
_atom_site_type_symbol
_atom_site_fract_x
_atom_site_fract_y
_atom_site_fract_z
Rb1 Rb 0.0000 0.0000 0.0000
Be1 Be 0.5000 0.5000 0.5000
Cr1 Cr 0.5000 0.5000 0.0000
H1 H 0.0000 0.5000 0.5000
# Uncorrected energy in eV/atom: -3.158



# Ba4SbPtI2 GGA-PBE optimized geometry
data_Ba4SbPtI2
_chemical_formula_sum 'Ba4 Sb1 Pt1 I2'
_symmetry_space_group_name_H-M 'P 1 2/m 1'
_symmetry_Int_Tables_number 10
_cell_length_a 8.4850
_cell_length_b 4.8716
_cell_length_c 8.9622
_cell_angle_alpha 90.00
_cell_angle_beta 107.96
_cell_angle_gamma 90.00
loop_
_symmetry_equiv_pos_as_xyz
'x,y,z'
'-x,-y,-z'
'-x,y,-z'
'x,-y,z'
loop_
_atom_site_label
_atom_site_type_symbol
_atom_site_fract_x
_atom_site_fract_y
_atom_site_fract_z
Ba1 Ba 0.2276 0.0000 0.2093
Ba2 Ba 0.2426 0.5000 0.7960
Sb1 Sb 0.5000 0.0000 0.0000
Pt1 Pt 0.0000 0.5000 0.0000
I1 I 0.0000 0.0000 0.5000
I2 I 0.5000 0.5000 0.5000
# Uncorrected formation energy in meV per atom: -1236.2



# AlHg GGA-PBE optimized geometry
data_AlHg
_chemical_formula_sum 'Al8 Hg8'
_symmetry_space_group_name_H-M 'I -4 3 m'
_symmetry_Int_Tables_number 217
_symmetry_space_group_name_Hall 'I -4 2 3'
_cell_length_a 8.1277
_cell_length_b 8.1277
_cell_length_c 8.1277
_cell_angle_alpha 90.00
_cell_angle_beta 90.00
_cell_angle_gamma 90.00
loop_
_atom_site_label
_atom_site_type_symbol
_atom_site_fract_x
_atom_site_fract_y
_atom_site_fract_z
Al1 Al 0.1217 0.1217 0.1217
Hg1 Hg 0.1991 0.1991 0.8009
# DFT formation energy in eV per atom: 0.31